Below is a geometry-optimized Tb2DyTm3S6 structure, with properties calculated at the PBE level.

Unit cell a=16.9205 b=3.8665 c=7.8011 alpha=90.00 beta=103.80 gamma=90.00
Space group C2/m (No. 12)
Asymmetric unit:
Tb (0.1669, 0.0000, 0.3338) x4
Dy (0.0000, 0.5000, 0.0000) x2
Tm (0.0000, 0.5000, 0.5000) x2
Tm (0.1670, 0.0000, 0.8331) x4
S (0.0018, 0.0000, 0.7467) x4
S (0.1647, 0.5000, 0.5880) x4
S (0.1678, 0.5000, 0.0782) x4

E_form (uncorrected): -1.969 eV/atom
calculated total energy: -0.2317 Ha/atom
total magnetization: 0.0 Bohr magnetons per cell
N(E_F): 5.2 states/eV/f.u.